A geometry-optimized Sb2IO3 structure, computed with PBE-GGA.

Results
- uncorrected formation energy (eV per atom) = -0.89
- V (Å³/f.u.) = 155.97
- M_tot (μB per cell) = 0.00
- total DFT energy (no corrections) (eV/atom) = -5.001
- ΔE to the lowest computed polymorph (eV/f.u.) = 0.25
- density (g/cm³) = 4.45

Unit cell a=3.210 b=7.319 c=16.731 alpha=124.58 beta=90.00 gamma=102.67
Positions (direct):
O: 0.648 0.297 0.732
O: 0.153 0.305 0.428
Sb: 0.598 0.197 0.340
Sb: 0.744 0.488 0.218
I: 0.929 0.857 0.086
O: 0.352 0.703 0.268
O: 0.847 0.695 0.572
O: 0.272 0.544 0.673
I: 0.071 0.143 0.914
Sb: 0.256 0.512 0.782
O: 0.728 0.456 0.327
Sb: 0.402 0.803 0.660

---

A geometry-optimized Sb5IO7 structure, computed with PBE-GGA.

Results
- uncorrected formation energy (eV per atom) = -1.23
- V (Å³/f.u.) = 270.75
- M_tot (μB per cell) = 0.00
- total DFT energy (no corrections) (eV/atom) = -5.604
- ΔE to the lowest computed polymorph (eV/f.u.) = 0.00
- density (g/cm³) = 5.20

Unit cell a=7.041 b=11.676 c=13.179 alpha=90.00 beta=90.00 gamma=91.63
Positions (direct):
Sb: 0.600 0.059 0.243
O: 0.245 0.407 0.249
O: 0.981 0.011 0.609
O: 0.099 0.511 0.832
O: 0.726 0.709 0.134
Sb: 0.244 0.434 0.946
O: 0.695 0.787 0.855
Sb: 0.960 0.104 0.735
Sb: 0.540 0.396 0.235
O: 0.755 0.593 0.751
Sb: 0.756 0.566 0.054
I: 0.674 0.269 0.494
O: 0.019 0.989 0.391
I: 0.174 0.769 0.006
Sb: 0.912 0.753 0.760
O: 0.745 0.907 0.251
Sb: 0.900 0.441 0.743
Sb: 0.460 0.604 0.765
O: 0.599 0.011 0.668
Sb: 0.744 0.934 0.554
O: 0.305 0.213 0.145
Sb: 0.040 0.896 0.265
O: 0.563 0.538 0.322
O: 0.481 0.511 0.891
Sb: 0.100 0.559 0.257
O: 0.401 0.989 0.332
O: 0.937 0.962 0.822
Sb: 0.400 0.941 0.757
O: 0.973 0.495 0.380
O: 0.274 0.291 0.866
I: 0.326 0.731 0.506
O: 0.063 0.038 0.178
Sb: 0.256 0.066 0.446
O: 0.226 0.209 0.366
O: 0.473 0.995 0.120
O: 0.519 0.489 0.109
O: 0.255 0.093 0.749
O: 0.901 0.489 0.168
O: 0.527 0.005 0.880
O: 0.774 0.791 0.634
Sb: 0.753 0.930 0.940
I: 0.826 0.231 0.994
O: 0.027 0.505 0.620
Sb: 0.253 0.430 0.560
O: 0.805 0.713 0.355
Sb: 0.247 0.070 0.060
Sb: 0.588 0.747 0.260
Sb: 0.088 0.247 0.240
O: 0.437 0.462 0.678
Sb: 0.747 0.570 0.440
O: 0.195 0.287 0.645
Sb: 0.412 0.253 0.740

---

A geometry-optimized Sb2IO3 structure, computed with PBE-GGA.

Results
- uncorrected formation energy (eV per atom) = -0.93
- V (Å³/f.u.) = 122.35
- M_tot (μB per cell) = 0.00
- total DFT energy (no corrections) (eV/atom) = -5.042
- ΔE to the lowest computed polymorph (eV/f.u.) = 0.00
- density (g/cm³) = 5.68

Unit cell a=3.769 b=7.455 c=9.281 alpha=103.63 beta=90.00 gamma=104.64
Positions (direct):
O: 0.323 0.645 0.539
Sb: 0.450 0.900 0.709
O: 0.677 0.355 0.461
Sb: 0.842 0.683 0.406
O: 0.421 0.843 0.338
O: 0.943 0.886 0.607
O: 0.057 0.114 0.393
I: 0.167 0.334 0.065
I: 0.833 0.666 0.935
Sb: 0.158 0.317 0.594
O: 0.579 0.157 0.662
Sb: 0.550 0.100 0.291

---

A geometry-optimized Sb2I3O structure, computed with PBE-GGA.

Results
- uncorrected formation energy (eV per atom) = -0.40
- V (Å³/f.u.) = 220.67
- M_tot (μB per cell) = 0.00
- total DFT energy (no corrections) (eV/atom) = -3.380
- density (g/cm³) = 4.82

Unit cell a=3.990 b=9.910 c=11.799 alpha=76.87 beta=80.26 gamma=78.38
Positions (direct):
I: 0.237 0.175 0.351
Sb: 0.592 0.362 0.455
I: 0.650 0.695 0.005
I: 0.763 0.825 0.649
I: 0.350 0.305 0.995
O: 0.609 0.490 0.291
I: 0.956 0.797 0.292
O: 0.391 0.510 0.709
Sb: 0.128 0.549 0.196
I: 0.044 0.203 0.708
Sb: 0.408 0.638 0.545
Sb: 0.872 0.451 0.804

---

A geometry-optimized SbIO3 structure, computed with PBE-GGA.

Results
- uncorrected formation energy (eV per atom) = -0.41
- V (Å³/f.u.) = 105.30
- M_tot (μB per cell) = 0.00
- total DFT energy (no corrections) (eV/atom) = -4.516
- density (g/cm³) = 4.68

Unit cell a=6.990 b=4.943 c=7.027 alpha=90.00 beta=119.82 gamma=90.00
Positions (direct):
O: 0.446 0.521 0.891
I: 0.937 0.678 0.874
O: 0.574 0.975 0.670
Sb: 0.601 0.404 0.203
I: 0.063 0.178 0.126
O: 0.554 0.021 0.109
O: 0.426 0.475 0.330
Sb: 0.399 0.904 0.797
O: 0.905 0.475 0.330
O: 0.095 0.975 0.670

---

A geometry-optimized SbI2O2 structure, computed with PBE-GGA.

Results
- uncorrected formation energy (eV per atom) = 0.72
- V (Å³/f.u.) = 102.80
- M_tot (μB per cell) = 0.00
- total DFT energy (no corrections) (eV/atom) = -2.713
- ΔE to the lowest computed polymorph (eV/f.u.) = 4.62
- density (g/cm³) = 6.58

Unit cell a=4.957 b=4.957 c=4.183 alpha=90.00 beta=90.00 gamma=90.00
Positions (direct):
Sb: 0.500 0.500 0.500
O: 0.000 0.000 0.500
O: 0.000 0.000 0.000
I: 0.500 0.000 0.000
I: 0.000 0.500 0.000

---

A geometry-optimized Sb4I3O4 structure, computed with PBE-GGA.

Results
- uncorrected formation energy (eV per atom) = -0.34
- V (Å³/f.u.) = 262.87
- M_tot (μB per cell) = 0.00
- total DFT energy (no corrections) (eV/atom) = -4.061
- density (g/cm³) = 5.89

Unit cell a=3.459 b=9.328 c=9.546 alpha=119.24 beta=100.44 gamma=90.00
Positions (direct):
I: 0.119 0.119 0.238
Sb: 0.500 0.763 0.000
I: 0.881 0.881 0.762
I: 0.000 0.500 0.000
O: 0.630 0.778 0.260
Sb: 0.500 0.237 0.000
Sb: 0.828 0.328 0.657
Sb: 0.172 0.672 0.343
O: 0.370 0.222 0.740
O: 0.630 0.482 0.260
O: 0.370 0.518 0.740

---

A geometry-optimized SbIO2 structure, computed with PBE-GGA.

Results
- uncorrected formation energy (eV per atom) = -0.81
- V (Å³/f.u.) = 123.17
- M_tot (μB per cell) = 0.00
- total DFT energy (no corrections) (eV/atom) = -4.707
- ΔE to the lowest computed polymorph (eV/f.u.) = 0.00
- density (g/cm³) = 3.78

Unit cell a=10.923 b=7.964 c=5.663 alpha=90.00 beta=90.00 gamma=90.00
Positions (direct):
Sb: 0.198 0.750 0.260
O: 0.250 0.912 0.010
Sb: 0.802 0.250 0.740
O: 0.750 0.412 0.490
O: 0.250 0.912 0.510
O: 0.750 0.412 0.990
I: 0.047 0.250 0.738
Sb: 0.698 0.250 0.240
O: 0.750 0.088 0.990
I: 0.453 0.250 0.238
O: 0.750 0.088 0.490
O: 0.250 0.588 0.510
I: 0.953 0.750 0.262
Sb: 0.302 0.750 0.760
O: 0.250 0.588 0.010
I: 0.547 0.750 0.762

---

A geometry-optimized SbIO3 structure, computed with PBE-GGA.

Results
- uncorrected formation energy (eV per atom) = -0.30
- V (Å³/f.u.) = 70.41
- M_tot (μB per cell) = 0.92
- total DFT energy (no corrections) (eV/atom) = -4.411
- density (g/cm³) = 7.00

Unit cell a=4.129 b=4.129 c=4.129 alpha=90.00 beta=90.00 gamma=90.00
Positions (direct):
I: 0.500 0.500 0.500
O: 0.500 0.000 0.000
O: 0.000 0.500 0.000
Sb: 0.000 0.000 0.000
O: 0.000 0.000 0.500

---

A geometry-optimized SbI2O2 structure, computed with PBE-GGA.

Results
- uncorrected formation energy (eV per atom) = 0.48
- V (Å³/f.u.) = 140.62
- M_tot (μB per cell) = 0.00
- total DFT energy (no corrections) (eV/atom) = -2.950
- ΔE to the lowest computed polymorph (eV/f.u.) = 3.43
- density (g/cm³) = 4.81

Unit cell a=5.929 b=5.929 c=4.000 alpha=90.00 beta=90.00 gamma=90.00
Positions (direct):
Sb: 0.000 0.000 0.000
O: 0.500 0.500 0.500
O: 0.000 0.000 0.500
I: 0.500 0.000 0.000
I: 0.000 0.500 0.000

---

A geometry-optimized SbI2O2 structure, computed with PBE-GGA.

Results
- uncorrected formation energy (eV per atom) = -0.21
- V (Å³/f.u.) = 125.84
- M_tot (μB per cell) = 0.00
- total DFT energy (no corrections) (eV/atom) = -3.637
- ΔE to the lowest computed polymorph (eV/f.u.) = 0.00
- density (g/cm³) = 5.38

Unit cell a=4.230 b=4.230 c=7.033 alpha=90.00 beta=90.00 gamma=90.00
Positions (direct):
I: 0.000 0.000 0.500
I: 0.500 0.500 0.500
O: 0.000 0.500 0.000
O: 0.500 0.000 0.000
Sb: 0.000 0.000 0.000

---

A geometry-optimized Sb2IO2 structure, computed with PBE-GGA.

Results
- uncorrected formation energy (eV per atom) = -0.61
- V (Å³/f.u.) = 106.23
- M_tot (μB per cell) = 0.00
- total DFT energy (no corrections) (eV/atom) = -4.555
- density (g/cm³) = 6.29

Unit cell a=3.929 b=3.929 c=8.576 alpha=76.10 beta=76.10 gamma=56.52
Positions (direct):
Sb: 0.577 0.077 0.314
O: 0.781 0.281 0.647
O: 0.219 0.719 0.353
I: 0.000 0.500 0.000
Sb: 0.423 0.923 0.686

---

A geometry-optimized Sb3IO structure, computed with PBE-GGA.

Results
- uncorrected formation energy (eV per atom) = 0.25
- V (Å³/f.u.) = 122.44
- M_tot (μB per cell) = 0.00
- total DFT energy (no corrections) (eV/atom) = -3.523
- density (g/cm³) = 6.89

Unit cell a=4.966 b=4.966 c=4.966 alpha=90.00 beta=90.00 gamma=90.00
Positions (direct):
Sb: 0.000 0.500 0.000
O: 0.000 0.000 0.000
I: 0.500 0.500 0.500
Sb: 0.000 0.000 0.500
Sb: 0.500 0.000 0.000

---

A geometry-optimized Sb3IO4 structure, computed with PBE-GGA.

Results
- uncorrected formation energy (eV per atom) = -1.13
- V (Å³/f.u.) = 197.75
- M_tot (μB per cell) = 0.00
- total DFT energy (no corrections) (eV/atom) = -5.345
- density (g/cm³) = 4.67

Unit cell a=12.762 b=10.476 c=11.879 alpha=84.94 beta=90.00 gamma=90.00
Positions (direct):
O: 0.629 0.891 0.575
O: 0.188 0.959 0.071
O: 0.285 0.648 0.872
O: 0.017 0.595 0.646
Sb: 0.309 0.653 0.040
Sb: 0.349 0.779 0.692
Sb: 0.691 0.347 0.960
Sb: 0.565 0.771 0.476
Sb: 0.459 0.424 0.121
I: 0.572 0.890 0.883
O: 0.790 0.559 0.264
I: 0.900 0.918 0.666
I: 0.928 0.390 0.883
I: 0.428 0.110 0.117
Sb: 0.435 0.229 0.524
Sb: 0.640 0.064 0.627
O: 0.517 0.905 0.354
I: 0.072 0.610 0.117
Sb: 0.809 0.847 0.960
O: 0.394 0.834 0.526
Sb: 0.041 0.924 0.121
O: 0.976 0.889 0.962
O: 0.129 0.609 0.425
Sb: 0.151 0.279 0.692
O: 0.024 0.111 0.038
O: 0.312 0.459 0.071
Sb: 0.191 0.153 0.040
O: 0.785 0.852 0.128
O: 0.299 0.213 0.658
O: 0.201 0.713 0.658
Sb: 0.959 0.076 0.879
Sb: 0.140 0.436 0.373
O: 0.371 0.109 0.425
O: 0.715 0.352 0.128
O: 0.710 0.059 0.264
Sb: 0.644 0.905 0.206
O: 0.606 0.166 0.474
O: 0.524 0.389 0.962
O: 0.290 0.941 0.736
I: 0.600 0.418 0.666
I: 0.400 0.582 0.334
O: 0.215 0.148 0.872
O: 0.688 0.541 0.929
Sb: 0.144 0.595 0.794
O: 0.483 0.095 0.646
Sb: 0.360 0.936 0.373
Sb: 0.849 0.721 0.308
O: 0.983 0.405 0.354
O: 0.476 0.611 0.038
Sb: 0.860 0.564 0.627
Sb: 0.935 0.271 0.476
O: 0.701 0.787 0.342
Sb: 0.651 0.221 0.308
O: 0.871 0.391 0.575
O: 0.894 0.666 0.474
O: 0.799 0.287 0.342
I: 0.100 0.082 0.334
O: 0.210 0.441 0.736
Sb: 0.065 0.729 0.524
Sb: 0.356 0.095 0.794
O: 0.106 0.334 0.526
O: 0.812 0.041 0.929
Sb: 0.856 0.405 0.206
Sb: 0.541 0.576 0.879

---

A geometry-optimized Sb3IO4 structure, computed with PBE-GGA.

Results
- uncorrected formation energy (eV per atom) = -1.19
- V (Å³/f.u.) = 180.86
- M_tot (μB per cell) = 0.00
- total DFT energy (no corrections) (eV/atom) = -5.406
- density (g/cm³) = 5.11

Unit cell a=4.649 b=18.752 c=19.322 alpha=59.20 beta=90.00 gamma=90.00
Positions (direct):
Sb: 0.623 0.102 0.445
I: 0.221 0.843 0.883
Sb: 0.341 0.176 0.779
Sb: 0.877 0.102 0.945
O: 0.385 0.010 0.555
Sb: 0.615 0.398 0.546
O: 0.238 0.632 0.051
Sb: 0.650 0.677 0.045
O: 0.251 0.869 0.682
Sb: 0.377 0.898 0.555
O: 0.764 0.563 0.639
O: 0.249 0.869 0.182
I: 0.263 0.655 0.229
Sb: 0.855 0.016 0.827
O: 0.890 0.509 0.936
Sb: 0.645 0.016 0.327
Sb: 0.864 0.483 0.843
Sb: 0.636 0.483 0.343
O: 0.746 0.938 0.200
O: 0.758 0.856 0.606
O: 0.258 0.144 0.894
O: 0.264 0.437 0.861
O: 0.242 0.144 0.394
O: 0.749 0.131 0.318
O: 0.110 0.491 0.064
Sb: 0.659 0.824 0.221
I: 0.779 0.157 0.117
O: 0.751 0.131 0.818
O: 0.254 0.062 0.800
I: 0.763 0.345 0.271
O: 0.729 0.642 0.964
O: 0.736 0.563 0.139
O: 0.615 0.990 0.445
I: 0.279 0.843 0.383
O: 0.771 0.642 0.464
I: 0.721 0.157 0.617
Sb: 0.150 0.323 0.455
O: 0.762 0.368 0.949
I: 0.737 0.345 0.771
Sb: 0.385 0.602 0.454
Sb: 0.355 0.984 0.673
Sb: 0.885 0.398 0.046
I: 0.237 0.655 0.729
O: 0.738 0.368 0.449
Sb: 0.364 0.517 0.657
Sb: 0.350 0.323 0.955
Sb: 0.841 0.824 0.721
O: 0.754 0.938 0.700
O: 0.262 0.632 0.551
O: 0.246 0.062 0.300
O: 0.742 0.856 0.106
Sb: 0.145 0.984 0.173
O: 0.885 0.990 0.945
O: 0.229 0.358 0.536
O: 0.390 0.491 0.564
Sb: 0.159 0.176 0.279
O: 0.115 0.010 0.055
O: 0.236 0.437 0.361
Sb: 0.115 0.602 0.954
Sb: 0.850 0.677 0.545
Sb: 0.123 0.898 0.055
Sb: 0.136 0.517 0.157
O: 0.271 0.358 0.036
O: 0.610 0.509 0.436

---

A geometry-optimized Sb8I2O11 structure, computed with PBE-GGA.

Results
- uncorrected formation energy (eV per atom) = -1.15
- V (Å³/f.u.) = 447.47
- M_tot (μB per cell) = 0.00
- total DFT energy (no corrections) (eV/atom) = -5.468
- density (g/cm³) = 5.21

Unit cell a=4.242 b=10.340 c=10.894 alpha=107.07 beta=81.79 gamma=100.19
Positions (direct):
Sb: 0.659 0.008 0.753
O: 0.646 0.141 0.927
O: 0.682 0.448 0.180
O: 0.931 0.617 0.716
O: 0.537 0.827 0.835
O: 0.454 0.888 0.132
O: 0.765 0.640 0.990
O: 0.120 0.392 0.284
O: 0.548 0.174 0.240
O: 0.226 0.357 0.985
O: 0.149 0.050 0.805
Sb: 0.467 0.650 0.679
I: 0.914 0.210 0.542
Sb: 0.234 0.507 0.155
Sb: 0.806 0.480 0.829
Sb: 0.604 0.375 0.336
Sb: 0.807 0.835 0.994
Sb: 0.438 0.014 0.315
Sb: 0.145 0.165 0.997
I: 0.810 0.802 0.384
O: 0.358 0.519 0.786